Record 1
Computed, not measured: a geometry-optimized ZnAu2Cl structure at the GGA-PBE level of DFT.

```
ZnAu2Cl
1.0
6.370 0.001 0.000
4.111 4.866 0.000
-5.241 -2.434 2.682
Zn Au Cl
1 2 1
direct
0.750 0.250 0.500 Zn
0.000 0.000 0.000 Au
0.500 0.500 0.000 Au
0.250 0.750 0.500 Cl
```

Summary:
- ΔE to the lowest computed polymorph: 361 meV/atom
- Total magnetization: 0.000 μB/f.u.
- Uncorrected formation energy: 0.067 eV per atom

Record 2
Computed, not measured: a geometry-optimized ZnAu2Cl structure at the GGA-PBE level of DFT.

```
ZnAu2Cl
1.0
8.411 0.010 0.006
7.788 3.176 0.006
7.788 1.532 2.782
Au Cl Zn
2 1 1
direct
0.006 0.006 0.006 Au
0.494 0.494 0.494 Au
0.250 0.250 0.250 Cl
0.750 0.750 0.750 Zn
```

Summary:
- ΔE to the lowest computed polymorph: 261 meV/atom
- Total magnetization: 0.000 μB/f.u.
- Uncorrected formation energy: -0.033 eV per atom

Record 3
Computed, not measured: a geometry-optimized Zn2AuCl structure at the GGA-PBE level of DFT.

```
Zn2AuCl
1.0
6.811 0.000 0.000
0.000 6.811 0.000
3.406 3.406 3.687
Au Zn Cl
2 4 2
direct
0.750 0.250 0.500 Au
0.000 0.000 0.000 Au
0.119 0.625 0.250 Zn
0.375 0.369 0.750 Zn
0.875 0.881 0.750 Zn
0.631 0.125 0.250 Zn
0.500 0.500 0.000 Cl
0.250 0.750 0.500 Cl
```

Summary:
- ΔE to the lowest computed polymorph: 119 meV/atom
- Total magnetization: 0.000 μB/f.u.
- Uncorrected formation energy: -0.177 eV per atom

Record 4
Computed, not measured: a geometry-optimized Zn5Au3Cl12 structure at the GGA-PBE level of DFT.

```
Zn5Au3Cl12
1.0
13.504 0.000 0.000
-4.501 12.731 0.000
-4.501 -6.366 11.026
Cl Zn Au
48 20 12
direct
0.621 0.023 0.202 Cl
0.523 0.202 0.121 Cl
0.621 0.598 0.920 Cl
0.298 0.879 0.977 Cl
0.598 0.977 0.679 Cl
0.298 0.420 0.821 Cl
0.679 0.477 0.598 Cl
0.702 0.580 0.179 Cl
0.798 0.321 0.920 Cl
0.477 0.679 0.098 Cl
0.420 0.121 0.598 Cl
0.202 0.679 0.080 Cl
0.179 0.098 0.977 Cl
0.179 0.080 0.702 Cl
0.121 0.702 0.523 Cl
0.402 0.023 0.321 Cl
0.702 0.121 0.023 Cl
0.402 0.379 0.580 Cl
0.580 0.702 0.679 Cl
0.098 0.920 0.121 Cl
0.821 0.920 0.298 Cl
0.080 0.902 0.379 Cl
0.879 0.298 0.477 Cl
0.321 0.523 0.402 Cl
0.879 0.580 0.902 Cl
0.679 0.202 0.580 Cl
0.821 0.902 0.023 Cl
0.098 0.179 0.477 Cl
0.598 0.621 0.420 Cl
0.977 0.379 0.298 Cl
0.420 0.298 0.321 Cl
0.202 0.523 0.621 Cl
0.920 0.821 0.798 Cl
0.977 0.598 0.179 Cl
0.523 0.321 0.902 Cl
0.023 0.621 0.702 Cl
0.121 0.420 0.098 Cl
0.080 0.179 0.202 Cl
0.902 0.080 0.879 Cl
0.477 0.798 0.879 Cl
0.379 0.402 0.080 Cl
0.379 0.977 0.798 Cl
0.920 0.098 0.621 Cl
0.321 0.798 0.420 Cl
0.798 0.477 0.379 Cl
0.023 0.402 0.821 Cl
0.902 0.821 0.523 Cl
0.580 0.879 0.402 Cl
0.375 0.250 0.125 Zn
0.250 0.375 0.625 Zn
0.500 0.000 0.500 Zn
0.500 0.500 0.500 Zn
0.000 0.000 0.000 Zn
0.000 0.500 0.500 Zn
0.750 0.125 0.875 Zn
0.875 0.250 0.625 Zn
0.375 0.125 0.750 Zn
0.500 0.500 0.000 Zn
0.125 0.750 0.375 Zn
0.750 0.625 0.375 Zn
0.000 0.000 0.500 Zn
0.625 0.875 0.250 Zn
0.875 0.625 0.750 Zn
0.625 0.750 0.875 Zn
0.125 0.375 0.250 Zn
0.500 0.000 0.000 Zn
0.250 0.875 0.125 Zn
0.000 0.500 0.000 Zn
0.375 0.625 0.250 Au
0.125 0.250 0.875 Au
0.750 0.875 0.625 Au
0.625 0.375 0.750 Au
0.250 0.125 0.375 Au
0.875 0.125 0.250 Au
0.875 0.750 0.125 Au
0.750 0.375 0.125 Au
0.250 0.625 0.875 Au
0.375 0.750 0.625 Au
0.625 0.250 0.375 Au
0.125 0.875 0.750 Au
```

Summary:
- Total magnetization: 0.000 μB/f.u.
- Uncorrected formation energy: -0.591 eV per atom

Record 5
Computed, not measured: a geometry-optimized Zn2AuCl structure at the GGA-PBE level of DFT.

```
Zn2AuCl
1.0
3.165 0.041 0.000
-1.388 2.845 0.000
0.000 0.000 8.593
Au Zn Cl
1 2 1
direct
0.000 0.000 0.459 Au
0.500 0.500 0.231 Zn
0.000 0.000 0.002 Zn
0.500 0.500 0.808 Cl
```

Summary:
- ΔE to the lowest computed polymorph: 192 meV/atom
- Total magnetization: 0.000 μB/f.u.
- Uncorrected formation energy: -0.105 eV per atom

Record 6
Computed, not measured: a geometry-optimized ZnAu2Cl structure at the GGA-PBE level of DFT.

```
ZnAu2Cl
1.0
-0.541 1.793 6.301
3.662 -1.178 5.330
-0.153 1.845 -6.308
Au Zn Cl
2 1 1
direct
0.250 0.750 0.500 Au
0.000 0.000 0.000 Au
0.750 0.250 0.500 Zn
0.500 0.500 0.000 Cl
```

Summary:
- ΔE to the lowest computed polymorph: 420 meV/atom
- Total magnetization: 0.000 μB/f.u.
- Uncorrected formation energy: 0.126 eV per atom

Record 7
Computed, not measured: a geometry-optimized Zn2AuCl6 structure at the GGA-PBE level of DFT.

```
Zn2AuCl6
1.0
-0.699 1.384 6.255
-7.382 -5.492 5.766
7.846 -2.944 6.904
Au Cl Zn
2 12 4
direct
0.250 0.222 0.778 Au
0.750 0.778 0.222 Au
0.132 0.036 0.821 Cl
0.855 0.248 0.369 Cl
0.799 0.775 0.433 Cl
0.355 0.369 0.248 Cl
0.299 0.433 0.775 Cl
0.645 0.631 0.752 Cl
0.145 0.752 0.631 Cl
0.701 0.567 0.225 Cl
0.368 0.179 0.964 Cl
0.201 0.225 0.567 Cl
0.868 0.964 0.179 Cl
0.632 0.821 0.036 Cl
0.562 0.200 0.346 Zn
0.062 0.346 0.200 Zn
0.938 0.654 0.800 Zn
0.438 0.800 0.654 Zn
```

Summary:
- ΔE to the lowest computed polymorph: 0 meV/atom
- Total magnetization: 1.052 μB/f.u.
- Uncorrected formation energy: -0.793 eV per atom

Record 8
Computed, not measured: a geometry-optimized Zn2AuCl structure at the GGA-PBE level of DFT.

```
Zn2AuCl
1.0
-1.803 -2.646 -0.024
2.357 -1.593 -1.469
2.687 -1.890 6.359
Cl Zn Au
1 2 1
direct
0.500 0.500 0.750 Cl
0.000 0.000 0.033 Zn
0.000 0.000 0.467 Zn
0.500 0.500 0.250 Au
```

Summary:
- ΔE to the lowest computed polymorph: 151 meV/atom
- Total magnetization: 0.000 μB/f.u.
- Uncorrected formation energy: -0.145 eV per atom

Record 9
Computed, not measured: a geometry-optimized Zn2AuCl structure at the GGA-PBE level of DFT.

```
Zn2AuCl
1.0
4.995 0.001 0.000
-0.018 4.995 0.000
0.000 0.000 2.865
Au Zn Cl
1 2 1
direct
0.500 0.000 0.500 Au
0.000 0.000 0.000 Zn
0.500 0.500 0.000 Zn
0.000 0.500 0.500 Cl
```

Summary:
- ΔE to the lowest computed polymorph: 192 meV/atom
- Total magnetization: 0.000 μB/f.u.
- Uncorrected formation energy: -0.105 eV per atom

Record 10
Computed, not measured: a geometry-optimized Zn4AuCl structure at the GGA-PBE level of DFT.

```
Zn4AuCl
1.0
-3.565 -1.131 3.753
-5.079 -0.749 -1.311
-2.118 -4.849 0.267
Zn Au Cl
4 1 1
direct
0.624 0.624 0.127 Zn
0.624 0.127 0.624 Zn
0.624 0.624 0.624 Zn
0.127 0.624 0.624 Zn
0.250 0.250 0.250 Au
0.000 0.000 0.000 Cl
```

Summary:
- Total magnetization: 0.000 μB/f.u.
- Uncorrected formation energy: 0.094 eV per atom

Record 11
Computed, not measured: a geometry-optimized Zn2AuCl structure at the GGA-PBE level of DFT.

```
Zn2AuCl
1.0
3.614 0.000 0.000
0.000 3.615 0.000
0.000 0.000 7.044
Zn Cl Au
2 1 1
direct
0.000 0.000 0.967 Zn
0.500 0.500 0.357 Zn
0.500 0.500 0.850 Cl
0.000 0.000 0.327 Au
```

Summary:
- ΔE to the lowest computed polymorph: 97 meV/atom
- Total magnetization: 0.000 μB/f.u.
- Uncorrected formation energy: -0.199 eV per atom

Record 12
Computed, not measured: a geometry-optimized ZnAu2Cl structure at the GGA-PBE level of DFT.

```
ZnAu2Cl
1.0
-5.106 -2.112 1.694
0.529 -5.718 -0.652
1.391 4.878 2.771
Au Zn Cl
2 1 1
direct
0.767 0.267 0.500 Au
0.026 0.026 0.000 Au
0.255 0.755 0.500 Zn
0.452 0.452 0.000 Cl
```

Summary:
- ΔE to the lowest computed polymorph: 245 meV/atom
- Total magnetization: 0.000 μB/f.u.
- Uncorrected formation energy: -0.049 eV per atom